AcTiBiO5 GGA-PBE optimized geometry; crystal system = monoclinic; DFT total energy = -7.58 eV per atom; mass density = 7177 kg/m³; uncorrected formation energy = -19.937 eV per formula unit
1.0
6.026 0.431 -0.336
-1.346 5.889 -0.336
-2.348 -3.171 7.571
O Ac Ti Bi
10 2 2 2
direct
0.300 0.888 0.546 O
0.012 0.988 0.250 O
0.231 0.335 0.627 O
0.769 0.665 0.373 O
0.665 0.769 0.873 O
0.335 0.231 0.127 O
0.700 0.112 0.454 O
0.112 0.700 0.954 O
0.988 0.012 0.750 O
0.888 0.300 0.046 O
0.314 0.686 0.250 Ac
0.686 0.314 0.750 Ac
0.000 0.000 0.000 Ti
0.000 0.000 0.500 Ti
0.727 0.273 0.250 Bi
0.273 0.727 0.750 Bi